A relaxed structure of Zn2CdTe2. Source: Alexandria via LeMat-Bulk, functional GGA-PBE.

Results
space-group type = No. 139
E above lowest polymorph = 168.0 meV/atom
uncorrected energy = -1.939 eV per atom
energy relative to the elements, uncorrected = 10 meV/atom

Cell: 5.4833 5.4833 8.3199 Å, 90.00 90.00 90.00°
Closest atoms and distances in Å follow each position.
Fractional positions:
1 Zn 0.0000 0.0000 0.1513  1 Zn 2.52
2 Zn 0.0000 0.0000 0.8487  1 Zn 2.52
3 Zn 0.5000 0.5000 0.3487  1 Zn 2.52
4 Zn 0.5000 0.5000 0.6513  1 Zn 2.52
5 Cd 0.0000 0.0000 0.5000  2 Zn 2.90
6 Cd 0.5000 0.5000 0.0000  2 Zn 2.90
7 Te 0.0000 0.5000 0.2500  4 Zn 2.86
8 Te 0.0000 0.5000 0.7500  4 Zn 2.86
9 Te 0.5000 0.0000 0.2500  4 Zn 2.86
10 Te 0.5000 0.0000 0.7500  4 Zn 2.86